(1)
A relaxed structure of MgAlTcP2. Source: Alexandria via LeMat-Bulk, functional PBE-GGA.

Results
* electronic total energy: -3.91 eV/atom
* theoretical density: 3.214 g/cm³
* space group: P4/mmm, No. 123
* DFT formation energy: 671 kJ/mol of formula units

Cell: 4.694 4.953 4.694 Å, 90.00 90.00 90.00°
Last column: magnetic moment on the atom in μB.
Sites, in units of the cell vectors:
Al  0.000  0.500  0.000  0.00
P  0.500  0.000  0.000  -0.02
P  0.000  0.000  0.500  -0.02
Tc  0.500  0.500  0.500  3.28
Mg  0.000  0.000  0.000  0.01

(2)
A relaxed structure of Mg2PaAl9. Source: Alexandria via LeMat-Bulk, functional PBE-GGA.

Results
* electronic total energy: -3.93 eV/atom
* theoretical density: 3.884 g/cm³
* space group: R-3m, No. 166
* DFT formation energy: -75 kJ/mol of formula units

Cell: 5.437 5.437 9.272 Å, 72.95 72.95 60.00°
Sites, in units of the cell vectors:
Pa  0.000  0.000  0.000
Al  0.415  0.921  0.249
Al  0.585  0.585  0.751
Al  0.335  0.335  0.996
Al  0.415  0.415  0.249
Al  0.500  0.500  0.500
Al  0.585  0.079  0.751
Al  0.079  0.585  0.751
Al  0.921  0.415  0.249
Al  0.665  0.665  0.004
Mg  0.857  0.857  0.429
Mg  0.143  0.143  0.571